Entry from Alexandria via LeMat-Bulk: an optimized crystal structure of TbCe3Ge4 (GGA-PBE).

Geometry as POSCAR:
```
TbCe3Ge4
1.0
4.076 0.000 0.000
0.000 6.454 -0.751
-2.038 -2.305 8.305
Ce Ge Tb
3 4 1
Cartesian
0.000 3.227 -0.375 Ce
0.000 0.362 3.110 Ce
2.038 3.787 4.444 Ce
2.038 2.216 1.837 Ge
0.000 -0.570 6.008 Ge
0.000 1.933 5.717 Ge
2.038 4.719 1.546 Ge
2.038 0.000 0.000 Tb
```

space group: Immm
volume: 26.43 Å³ per atom
N(E_F): 14.97 states/eV per cell
total energy: -5.7275 eV per atom